No. 1
This record from Alexandria via LeMat-Bulk describes a relaxed structure of BiAuC3. The functional is PBE.

Cell: 4.479 4.479 4.479 Å, 90.00 90.00 90.00°
Space group Pm-3m (No. 221)
Asymmetric unit:
1 Bi 0.000 0.000 0.000 (multiplicity 1)
2 Au 0.500 0.500 0.500 (multiplicity 1)
3 C 0.000 0.000 0.500 (multiplicity 3)

Output
formation enthalpy at 0 K	3458	meV/atom
DOS at the Fermi energy	3.153	states/eV/cell
V	90	Å³ per cell

No. 2
This record from Alexandria via LeMat-Bulk describes a relaxed structure of TaNiPt2. The functional is PBE.

Cell: 2.795 2.795 7.680 Å, 90.00 90.00 90.00°
Space group P4mm (No. 99)
Asymmetric unit:
1 Ta 0.000 0.000 0.000 (multiplicity 1)
2 Ni 0.500 0.500 0.231 (multiplicity 1)
3 Pt 0.000 0.000 0.463 (multiplicity 1)
4 Pt 0.500 0.500 0.737 (multiplicity 1)

Output
formation enthalpy at 0 K	-317	meV/atom
DOS at the Fermi energy	4.018	states/eV/cell
V	60	Å³ per cell

No. 3
This record from Alexandria via LeMat-Bulk describes a relaxed structure of TaTeW. The functional is PBE.

Cell: 3.449 3.449 9.578 Å, 90.00 90.00 90.00°
Space group I4mm (No. 107)
Asymmetric unit:
1 Ta 0.000 0.000 0.000 (multiplicity 2)
2 Te 0.000 0.000 0.321 (multiplicity 2)
3 W 0.000 0.000 0.644 (multiplicity 2)

Output
DOS at the Fermi energy	6.653	states/eV/cell
offset from the most stable computed form	52	meV/atom
formation energy without anion corrections	0.51	eV per atom
V	114	Å³ per cell

No. 4
This record from Alexandria via LeMat-Bulk describes a relaxed structure of NiPt2Br. The functional is PBE.

Cell: 5.121 6.891 3.984 Å, 90.00 90.00 90.00°
Space group Cmmm (No. 65)
Asymmetric unit:
1 Ni 0.000 0.000 0.000 (multiplicity 2)
2 Pt 0.000 0.212 0.500 (multiplicity 4)
3 Br 0.000 0.500 0.000 (multiplicity 2)

Output
DOS at the Fermi energy	8.648	states/eV/cell
offset from the most stable computed form	100	meV/atom
formation energy without anion corrections	0.39	eV per atom
V	141	Å³ per cell

No. 5
This record from Alexandria via LeMat-Bulk describes a relaxed structure of GdScAl. The functional is PBE.

Cell: 3.319 3.319 13.130 Å, 90.00 90.00 90.00°
Space group I4mm (No. 107)
Asymmetric unit:
1 Gd 0.000 0.000 0.000 (multiplicity 2)
2 Sc 0.000 0.000 0.700 (multiplicity 2)
3 Al 0.000 0.000 0.338 (multiplicity 2)

Output
formation enthalpy at 0 K	-251	meV/atom
DOS at the Fermi energy	6.004	states/eV/cell
offset from the most stable computed form	0	meV/atom
V	145	Å³ per cell

No. 6
This record from Alexandria via LeMat-Bulk describes a relaxed structure of ZrHg2Cl. The functional is PBE.

Cell: 3.197 3.197 9.834 Å, 90.00 90.00 90.00°
Space group P4mm (No. 99)
Asymmetric unit:
1 Zr 0.000 0.000 0.000 (multiplicity 1)
2 Hg 0.000 0.000 0.523 (multiplicity 1)
3 Hg 0.500 0.500 0.793 (multiplicity 1)
4 Cl 0.500 0.500 0.161 (multiplicity 1)

Output
DOS at the Fermi energy	3.048	states/eV/cell
offset from the most stable computed form	104	meV/atom
formation energy without anion corrections	-0.43	eV per atom
V	101	Å³ per cell

No. 7
This record from Alexandria via LeMat-Bulk describes a relaxed structure of La5Y2Ho4. The functional is PBE.

Cell: 18.219 3.609 11.956 Å, 90.00 102.21 90.00°
Space group C2/m (No. 12)
Asymmetric unit:
1 La 0.000 0.000 0.000 (multiplicity 2)
2 La 0.147 0.500 0.512 (multiplicity 4)
3 La 0.165 0.500 0.002 (multiplicity 4)
4 Y 0.150 0.000 0.255 (multiplicity 4)
5 Ho 0.018 0.500 0.729 (multiplicity 4)
6 Ho 0.188 0.000 0.764 (multiplicity 4)

Output
formation enthalpy at 0 K	127	meV/atom
DOS at the Fermi energy	31.941	states/eV/cell
offset from the most stable computed form	0	meV/atom
V	768	Å³ per cell

No. 8
This record from Alexandria via LeMat-Bulk describes a relaxed structure of Tb2Nd3PaAs6. The functional is PBE.

Cell: 7.252 12.561 7.277 Å, 90.00 109.37 90.00°
Space group C2/m (No. 12)
Asymmetric unit:
1 Tb 0.000 0.166 0.000 (multiplicity 4)
2 Nd 0.000 0.000 0.500 (multiplicity 2)
3 Nd 0.000 0.332 0.500 (multiplicity 4)
4 Pa 0.000 0.500 0.000 (multiplicity 2)
5 As 0.243 0.336 0.238 (multiplicity 8)
6 As 0.248 0.500 0.762 (multiplicity 4)

Output
formation enthalpy at 0 K	-1464	meV/atom
DOS at the Fermi energy	9.030	states/eV/cell
V	625	Å³ per cell